No. 1
First-principles (PBE-GGA) data for an optimized crystal structure of MnNbCoPt, as listed in Alexandria via LeMat-Bulk.

a b c (Å): 3.696 3.839 3.946
angles (deg): 90.00 90.00 90.00
Space group Pmmm (No. 47)
Symmetry-distinct sites (fractional):
Mn  0.000  0.000  0.000
Nb  0.500  0.000  0.500
Co  0.000  0.500  0.500
Pt  0.500  0.500  0.000

For the formation enthalpy at 0 K, the calculation gives -125 kJ/mol of formula units. As for the energy: -8.42 eV per atom. For the density of states at the Fermi level, the calculation gives 1.01 states/eV per atom.

=====

No. 2
First-principles (PBE-GGA) data for an optimized crystal structure of Y3Er4Zr, as listed in Alexandria via LeMat-Bulk.

a b c (Å): 22.682 3.381 6.651
angles (deg): 90.00 107.03 90.00
Space group C2/m (No. 12)
Symmetry-distinct sites (fractional):
Y  0.000  0.000  0.000
Y  0.121  0.000  0.384
Er  0.120  0.000  0.855
Er  0.241  0.500  0.745
Zr  0.000  0.500  0.500

For the formation enthalpy at 0 K, the calculation gives 160 kJ/mol of formula units. As for the energy: -5.57 eV per atom. For the density of states at the Fermi level, the calculation gives 1.71 states/eV per atom.

=====

No. 3
First-principles (PBE-GGA) data for an optimized crystal structure of TaInGe2Sb, as listed in Alexandria via LeMat-Bulk.

a b c (Å): 5.050 5.050 5.436
angles (deg): 90.00 90.00 90.00
Space group P4/mmm (No. 123)
Symmetry-distinct sites (fractional):
Ta  0.000  0.000  0.000
In  0.000  0.000  0.500
Ge  0.000  0.500  0.500
Sb  0.500  0.500  0.000

As for the energy: -4.22 eV per atom. For the density of states at the Fermi level, the calculation gives 0.89 states/eV per atom.

=====

No. 4
First-principles (PBE-GGA) data for an optimized crystal structure of SrTbTh, as listed in Alexandria via LeMat-Bulk.

a b c (Å): 3.642 3.642 17.009
angles (deg): 90.00 90.00 90.00
Space group I4mm (No. 107)
Symmetry-distinct sites (fractional):
Sr  0.000  0.000  0.000
Tb  0.000  0.000  0.316
Th  0.000  0.000  0.679

For the formation enthalpy at 0 K, the calculation gives 51 kJ/mol of formula units. As for the energy: -4.40 eV per atom. For the density of states at the Fermi level, the calculation gives 1.18 states/eV per atom.

=====

No. 5
First-principles (PBE-GGA) data for an optimized crystal structure of AlIrCl2, as listed in Alexandria via LeMat-Bulk.

a b c (Å): 4.129 4.129 4.077
angles (deg): 90.00 90.00 90.00
Space group P4/mmm (No. 123)
Symmetry-distinct sites (fractional):
Al  0.000  0.000  0.000
Ir  0.500  0.500  0.000
Cl  0.000  0.500  0.500

As for the energy: -3.40 eV per atom. For the density of states at the Fermi level, the calculation gives 1.06 states/eV per atom.

=====

No. 6
First-principles (PBE-GGA) data for an optimized crystal structure of AlZn2Co2, as listed in Alexandria via LeMat-Bulk.

a b c (Å): 6.736 6.736 2.823
angles (deg): 90.00 90.00 90.00
Space group P4/mbm (No. 127)
Symmetry-distinct sites (fractional):
Al  0.000  0.000  0.000
Zn  0.128  0.372  0.000
Co  0.172  0.672  0.500

For the formation enthalpy at 0 K, the calculation gives 1 kJ/mol of formula units. As for the energy: -4.10 eV per atom. For the density of states at the Fermi level, the calculation gives 0.66 states/eV per atom.